# 1
This record from Alexandria via LeMat-Bulk describes a geometry-optimized LaNd2SmGe2 structure. The functional is GGA-PBE.

a b c (Å): 4.4701 9.4996 8.0591
angles (deg): 90.00 90.00 90.00
Element x y z (fractional)
La  0.0000  0.0828  0.0000
La  0.0000  0.9172  0.5000
Nd  0.0000  0.3344  0.3970
Nd  0.0000  0.6656  0.8970
Nd  0.5000  0.4168  0.0620
Nd  0.5000  0.5832  0.5620
Sm  0.5000  0.1694  0.6673
Sm  0.5000  0.8306  0.1673
Ge  0.0000  0.3666  0.7824
Ge  0.0000  0.6334  0.2824
Ge  0.5000  0.1307  0.2829
Ge  0.5000  0.8693  0.7829

Summary:
- N(E_F) (states/eV/cell) = 17.3
- formation energy from the elements (eV per formula unit) = -3.56

# 2
This record from Alexandria via LeMat-Bulk describes a geometry-optimized ThMn4Al8 structure. The functional is GGA-PBE.

a b c (Å): 6.7439 6.7439 6.7439
angles (deg): 97.79 97.79 136.79
Element x y z (fractional)
Th  0.0000  0.0000  0.0000
Mn  0.0000  0.0000  0.5000
Mn  0.0000  0.5000  0.0000
Mn  0.5000  0.0000  0.0000
Mn  0.5000  0.5000  0.5000
Al  0.0000  0.3459  0.3459
Al  0.0000  0.6541  0.6541
Al  0.2782  0.5000  0.7782
Al  0.3459  0.0000  0.3459
Al  0.5000  0.2782  0.7782
Al  0.5000  0.7218  0.2218
Al  0.6541  0.0000  0.6541
Al  0.7218  0.5000  0.2218

Summary:
- N(E_F) (states/eV/cell) = 8.2
- formation energy from the elements (eV per formula unit) = -4.08

# 3
This record from Alexandria via LeMat-Bulk describes a geometry-optimized NaAc2Hg8 structure. The functional is GGA-PBE.

a b c (Å): 9.5057 9.5057 5.3862
angles (deg): 106.44 106.44 124.66
Element x y z (fractional)
Na  0.0000  0.0000  0.0000
Ac  0.3152  0.6848  0.5000
Ac  0.6848  0.3152  0.5000
Hg  0.0871  0.3553  0.7115
Hg  0.1924  0.8076  0.0000
Hg  0.3553  0.0871  0.7115
Hg  0.4081  0.4081  0.1594
Hg  0.5919  0.5919  0.8406
Hg  0.6447  0.9129  0.2885
Hg  0.8076  0.1924  0.0000
Hg  0.9129  0.6447  0.2885

Summary:
- N(E_F) (states/eV/cell) = 6.3
- formation energy from the elements (eV per formula unit) = -3.63
- offset from the most stable computed form (meV per atom) = 0

# 4
This record from Alexandria via LeMat-Bulk describes a geometry-optimized YOs2Br structure. The functional is GGA-PBE.

a b c (Å): 9.0965 9.0965 9.0965
angles (deg): 19.69 19.69 19.69
Element x y z (fractional)
Y  0.0000  0.0000  0.0000
Os  0.2470  0.2470  0.2470
Os  0.7530  0.7530  0.7530
Br  0.5000  0.5000  0.5000

Summary:
- N(E_F) (states/eV/cell) = 4.1
- raw formation energy (eV per atom) = 0.95
- offset from the most stable computed form (meV per atom) = 1011

# 5
This record from Alexandria via LeMat-Bulk describes a geometry-optimized NaLiNb4O12 structure. The functional is GGA-PBE.

a b c (Å): 7.9248 5.5150 5.5150
angles (deg): 89.18 90.00 90.00
Element x y z (fractional)
Na  0.0000  0.0000  0.0000
Li  0.5000  0.4290  0.4290
Nb  0.2532  0.4798  0.9614
Nb  0.2532  0.9614  0.4798
Nb  0.7468  0.4798  0.9614
Nb  0.7468  0.9614  0.4798
O  0.0000  0.4851  0.9271
O  0.0000  0.9271  0.4851
O  0.2311  0.2459  0.2459
O  0.2351  0.1605  0.7588
O  0.2351  0.7588  0.1605
O  0.3053  0.6478  0.6478
O  0.5000  0.0284  0.4485
O  0.5000  0.4485  0.0284
O  0.6947  0.6478  0.6478
O  0.7649  0.1605  0.7588
O  0.7649  0.7588  0.1605
O  0.7689  0.2459  0.2459

Summary:
- N(E_F) (states/eV/cell) = 6.4
- raw formation energy (eV per atom) = -2.21

# 6
This record from Alexandria via LeMat-Bulk describes a geometry-optimized RbCd2Hg3 structure. The functional is GGA-PBE.

a b c (Å): 7.8436 7.8436 6.1712
angles (deg): 90.00 90.00 77.70
Element x y z (fractional)
Rb  0.1779  0.8221  0.7500
Rb  0.8221  0.1779  0.2500
Cd  0.2798  0.2798  0.0000
Cd  0.2798  0.2798  0.5000
Cd  0.7202  0.7202  0.0000
Cd  0.7202  0.7202  0.5000
Hg  0.0441  0.5813  0.2500
Hg  0.4187  0.9559  0.2500
Hg  0.4383  0.5617  0.2500
Hg  0.5617  0.4383  0.7500
Hg  0.5813  0.0441  0.7500
Hg  0.9559  0.4187  0.7500

Summary:
- N(E_F) (states/eV/cell) = 5.0
- formation energy from the elements (eV per formula unit) = -0.73

# 7
This record from Alexandria via LeMat-Bulk describes a geometry-optimized Co8H4Ir structure. The functional is GGA-PBE.

a b c (Å): 6.4278 6.4278 8.6631
angles (deg): 128.59 128.59 23.32
Element x y z (fractional)
Co  0.0371  0.0371  0.2360
Co  0.2950  0.2950  0.4228
Co  0.3354  0.3354  0.1700
Co  0.3731  0.3731  0.9088
Co  0.6269  0.6269  0.0912
Co  0.6646  0.6646  0.8300
Co  0.7050  0.7050  0.5772
Co  0.9629  0.9629  0.7640
H  0.1516  0.1516  0.9651
H  0.3328  0.3328  0.6665
H  0.6672  0.6672  0.3335
H  0.8484  0.8484  0.0349
Ir  0.0000  0.0000  0.5000

Summary:
- N(E_F) (states/eV/cell) = 10.4
- total DFT energy (no corrections) (eV/atom) = -6.08

# 8
This record from Alexandria via LeMat-Bulk describes a geometry-optimized Ca2HoBi structure. The functional is GGA-PBE.

a b c (Å): 12.5840 12.5840 12.5840
angles (deg): 16.72 16.72 16.72
Element x y z (fractional)
Ca  0.0865  0.0865  0.0865
Ca  0.9135  0.9135  0.9135
Ho  0.5000  0.5000  0.5000
Bi  0.0000  0.0000  0.0000

Summary:
- N(E_F) (states/eV/cell) = 4.6
- formation energy from the elements (eV per formula unit) = 0.10

# 9
This record from Alexandria via LeMat-Bulk describes a geometry-optimized Ce2P2Ru2C structure. The functional is GGA-PBE.

a b c (Å): 5.8856 5.8856 6.8205
angles (deg): 123.79 123.79 39.33
Element x y z (fractional)
Ce  0.0620  0.0620  0.3104
Ce  0.9380  0.9380  0.6896
P  0.3196  0.3196  0.2875
P  0.6804  0.6804  0.7125
Ru  0.3022  0.3022  0.9156
Ru  0.6978  0.6978  0.0844
C  0.5000  0.5000  0.0000

Summary:
- N(E_F) (states/eV/cell) = 6.7
- formation energy from the elements (eV per formula unit) = -6.22

# 10
This record from Alexandria via LeMat-Bulk describes a geometry-optimized PmSi4Os2 structure. The functional is GGA-PBE.

a b c (Å): 6.6529 6.6529 6.6529
angles (deg): 111.68 111.68 105.13
Element x y z (fractional)
Pm  0.0000  0.0000  0.0000
Pm  0.7500  0.2500  0.5000
Si  0.0064  0.4596  0.2735
Si  0.1861  0.7329  0.7265
Si  0.2096  0.2564  0.7735
Si  0.2671  0.9936  0.4533
Si  0.4829  0.4361  0.2265
Si  0.5404  0.8139  0.5467
Si  0.5639  0.7904  0.0467
Si  0.7436  0.5171  0.9533
Os  0.2014  0.6250  0.0764
Os  0.3750  0.4514  0.5764
Os  0.5486  0.1250  0.9236
Os  0.8750  0.7986  0.4236

Summary:
- N(E_F) (states/eV/cell) = 5.9
- raw formation energy (eV per atom) = -0.35
- offset from the most stable computed form (meV per atom) = 171

# 11
This record from Alexandria via LeMat-Bulk describes a geometry-optimized LaSc5Rh4 structure. The functional is GGA-PBE.

a b c (Å): 3.2463 3.2463 18.3582
angles (deg): 90.00 90.00 90.00
Element x y z (fractional)
La  0.0000  0.0000  0.0000
Sc  0.5000  0.5000  0.1506
Sc  0.5000  0.5000  0.3240
Sc  0.5000  0.5000  0.5000
Sc  0.5000  0.5000  0.6760
Sc  0.5000  0.5000  0.8494
Rh  0.0000  0.0000  0.2340
Rh  0.0000  0.0000  0.4119
Rh  0.0000  0.0000  0.5881
Rh  0.0000  0.0000  0.7660

Summary:
- N(E_F) (states/eV/cell) = 5.7
- formation energy from the elements (eV per formula unit) = -8.08

# 12
This record from Alexandria via LeMat-Bulk describes a geometry-optimized NpNbRu structure. The functional is GGA-PBE.

a b c (Å): 2.8769 5.0470 7.5855
angles (deg): 90.00 90.00 90.00
Element x y z (fractional)
Np  0.2500  0.2500  0.0648
Np  0.7500  0.7500  0.9352
Nb  0.2500  0.7500  0.2976
Nb  0.7500  0.2500  0.7024
Ru  0.2500  0.2500  0.3929
Ru  0.7500  0.7500  0.6071

Summary:
- N(E_F) (states/eV/cell) = 9.4
- formation energy from the elements (eV per formula unit) = 1.22